A relaxed structure of BaInGa2Au, computed with PBE.

Unit cell a=4.723 b=4.666 c=6.612 alpha=110.66 beta=110.92 gamma=90.00
Atoms (fractional coordinates):
Au1 0.825 0.825 0.649
Ga1 0.696 0.196 0.391
Ga2 0.054 0.054 0.107
In1 0.192 0.692 0.383
Ba1 0.447 0.447 0.893

Results
The calculation puts the total magnetization at 0.00 μB/cell. As for the total DFT energy (no corrections): -16.502 eV for the cell shown.


A relaxed structure of DyLuInPd, computed with PBE.

Unit cell a=5.107 b=5.107 c=5.107 alpha=60.00 beta=60.00 gamma=60.00
Atoms (fractional coordinates):
Lu1 0.250 0.250 0.250
Pd1 0.000 0.000 0.000
In1 0.500 0.500 0.500
Dy1 0.750 0.750 0.750

Results
The calculation puts the total magnetization at 0.00 μB/cell. As for the total DFT energy (no corrections): -19.513 eV for the cell shown.


A relaxed structure of CuPbSe2, computed with PBE.

Unit cell a=3.577 b=4.094 c=6.905 alpha=91.32 beta=90.00 gamma=90.00
Atoms (fractional coordinates):
Cu1 0.500 0.250 0.250
Pb1 0.500 0.750 0.750
Se1 0.000 0.241 0.488
Se2 0.000 0.259 0.012

Results
The calculation puts the total magnetization at 0.00 μB/cell. The formation energy (no corrections) is -0.19 eV/atom.


A relaxed structure of Tl2GaF, computed with PBE.

Unit cell a=5.021 b=5.021 c=5.021 alpha=60.00 beta=60.00 gamma=60.00
Atoms (fractional coordinates):
Tl1 0.750 0.750 0.750
Ga1 0.500 0.500 0.500
F1 0.000 0.000 0.000
Tl2 0.250 0.250 0.250

Results
The calculation puts the total magnetization at 0.00 μB/cell. The calculation puts the excess energy over the best structure of this formula in the dataset at 0 meV per atom. The formation energy (no corrections) is -0.56 eV/atom.


A relaxed structure of SiBiP, computed with PBE.

Unit cell a=4.957 b=5.319 c=7.230 alpha=108.60 beta=108.09 gamma=94.14
Atoms (fractional coordinates):
Si1 0.131 0.630 0.318
P1 0.446 0.903 0.258
P2 0.856 0.984 0.877
Bi1 0.629 0.472 0.971
Bi2 0.969 0.077 0.565
Si2 0.277 0.224 0.135

Results
The calculation puts the total magnetization at 0.00 μB/cell. The calculation puts the excess energy over the best structure of this formula in the dataset at 294 meV per atom. The formation energy (no corrections) is 0.24 eV/atom.


A relaxed structure of TlPtCl3, computed with PBE.

Unit cell a=5.318 b=5.318 c=5.318 alpha=90.00 beta=90.00 gamma=90.00
Atoms (fractional coordinates):
Cl1 0.000 0.000 0.500
Cl2 0.000 0.500 0.000
Pt1 0.500 0.500 0.500
Cl3 0.500 0.000 0.000
Tl1 0.000 0.000 0.000

Results
The calculation puts the total magnetization at 0.57 μB/cell. The calculation puts the excess energy over the best structure of this formula in the dataset at 999 meV per atom. The formation energy (no corrections) is 0.46 eV/atom.


A relaxed structure of Rb2CuWBr, computed with PBE.

Unit cell a=6.484 b=4.974 c=6.484 alpha=90.00 beta=90.00 gamma=90.00
Atoms (fractional coordinates):
Cu1 0.000 0.000 0.000
Br1 0.500 0.500 0.500
Rb1 0.000 0.000 0.500
W1 0.000 0.500 0.000
Rb2 0.500 0.000 0.000

Results
The calculation puts the total magnetization at 4.97 μB/cell. The formation energy (no corrections) is 0.73 eV/atom.


A relaxed structure of Ce2VReN6, computed with PBE.

Unit cell a=5.437 b=5.540 c=7.760 alpha=90.00 beta=89.93 gamma=90.00
Atoms (fractional coordinates):
N1 0.071 0.484 0.748
N2 0.300 0.699 0.463
Ce1 0.003 0.950 0.251
N3 0.571 0.016 0.248
N4 0.303 0.701 0.036
N5 0.700 0.301 0.537
Ce2 0.997 0.050 0.749
Re1 0.000 0.500 0.000
N6 0.200 0.199 0.037
N7 0.800 0.801 0.963
N8 0.697 0.299 0.964
N9 0.929 0.516 0.252
Re2 0.500 0.000 0.500
N10 0.803 0.799 0.536
V1 0.000 0.500 0.500
Ce3 0.503 0.550 0.751
V2 0.500 0.000 0.000
Ce4 0.497 0.450 0.249
N11 0.197 0.201 0.464
N12 0.429 0.984 0.752

Results
The calculation puts the total magnetization at 0.00 μB/cell. The formation energy (no corrections) is -0.95 eV/atom.


A relaxed structure of LiGdCu, computed with PBE.

Unit cell a=3.519 b=3.519 c=5.421 alpha=108.94 beta=108.94 gamma=90.00
Atoms (fractional coordinates):
Gd1 0.606 0.606 0.212
Li1 0.310 0.310 0.621
Cu1 0.934 0.934 0.868

Results
The calculation puts the total magnetization at 7.25 μB/cell. The calculation puts the excess energy over the best structure of this formula in the dataset at 0 meV per atom.


A relaxed structure of La2MgZnRu, computed with PBE.

Unit cell a=5.383 b=5.383 c=5.057 alpha=90.00 beta=90.00 gamma=90.00
Atoms (fractional coordinates):
Ru1 0.000 0.000 0.000
Mg1 0.500 0.500 0.500
La1 0.500 0.000 0.000
La2 0.000 0.500 0.000
Zn1 0.000 0.000 0.500

Results
The calculation puts the total magnetization at 0.00 μB/cell. The calculation puts the excess energy over the best structure of this formula in the dataset at 0 meV per atom.


A relaxed structure of NbVMo2Rh, computed with PBE.

Unit cell a=4.664 b=4.756 c=4.664 alpha=90.00 beta=90.00 gamma=90.00
Atoms (fractional coordinates):
Mo1 0.500 0.000 0.000
Nb1 0.000 0.500 0.000
Mo2 0.000 0.000 0.500
Rh1 0.000 0.000 0.000
V1 0.500 0.500 0.500

Results
The calculation puts the total magnetization at 0.00 μB/cell. As for the total DFT energy (no corrections): -39.972 eV for the cell shown.


A relaxed structure of K2LiInI6, computed with PBE.

Unit cell a=8.308 b=8.310 c=9.003 alpha=62.51 beta=62.52 gamma=59.99
Atoms (fractional coordinates):
In1 0.327 0.327 0.018
I1 0.582 0.202 0.217
I2 0.202 0.999 0.217
I3 0.471 0.668 0.754
I4 0.999 0.582 0.217
K1 0.033 0.033 0.901
K2 0.534 0.534 0.397
Li1 0.738 0.738 0.786
I5 0.668 0.106 0.755
I6 0.106 0.471 0.755

Results
The calculation puts the total magnetization at 0.00 μB/cell. The formation energy (no corrections) is -0.99 eV/atom.


A relaxed structure of LiEr2Ga2, computed with PBE.

Unit cell a=5.931 b=6.333 c=7.426 alpha=115.24 beta=113.54 gamma=90.00
Atoms (fractional coordinates):
Li1 0.250 0.500 0.000
Er1 0.348 0.045 0.696
Er2 0.848 0.651 0.696
Er3 0.652 0.955 0.304
Ga1 0.107 0.839 0.213
Li2 0.750 0.500 0.000
Ga2 0.393 0.626 0.787
Ga3 0.893 0.161 0.787
Ga4 0.607 0.374 0.213
Er4 0.152 0.349 0.304

Results
The calculation puts the total magnetization at 0.00 μB/cell. As for the total DFT energy (no corrections): -36.844 eV for the cell shown.


A relaxed structure of ScHgSb, computed with PBE.

Unit cell a=4.414 b=4.414 c=14.215 alpha=90.00 beta=90.00 gamma=120.00
Atoms (fractional coordinates):
Hg1 0.667 0.333 0.656
Sc1 0.000 0.000 0.548
Sb1 0.667 0.333 0.104
Sb2 0.000 0.000 0.771
Hg2 0.333 0.667 0.989
Hg3 0.000 0.000 0.322
Sb3 0.333 0.667 0.437
Sc2 0.333 0.667 0.215
Sc3 0.667 0.333 0.882

Results
The calculation puts the total magnetization at 0.00 μB/cell. The calculation puts the excess energy over the best structure of this formula in the dataset at 0 meV per atom. The formation energy (no corrections) is -0.43 eV/atom.


A relaxed structure of LiCa3Tb2S6, computed with PBE.

Unit cell a=6.859 b=6.859 c=6.882 alpha=99.56 beta=99.56 gamma=119.97
Atoms (fractional coordinates):
Ca1 0.500 0.500 0.500
S1 0.415 0.081 0.242
S2 0.585 0.919 0.758
S3 0.081 0.415 0.242
Ca2 0.165 0.835 0.500
Tb1 0.333 0.667 0.000
Li1 0.000 0.000 0.000
S4 0.747 0.747 0.241
S5 0.919 0.585 0.758
Tb2 0.667 0.333 0.000
Ca3 0.835 0.165 0.500
S6 0.253 0.253 0.759

Results
The calculation puts the total magnetization at 0.00 μB/cell. The formation energy (no corrections) is -2.02 eV/atom.


A relaxed structure of Si2Se, computed with PBE.

Unit cell a=9.118 b=9.118 c=9.118 alpha=163.57 beta=163.57 gamma=23.32
Atoms (fractional coordinates):
Si1 0.807 0.807 0.000
Se1 0.500 0.500 0.000
Si2 0.193 0.193 0.000

Results
The calculation puts the total magnetization at 0.00 μB/cell. The calculation puts the excess energy over the best structure of this formula in the dataset at 648 meV per atom. The formation energy (no corrections) is 0.48 eV/atom.


A relaxed structure of SrCaSbAs2, computed with PBE.

Unit cell a=5.550 b=5.906 c=5.550 alpha=90.00 beta=90.00 gamma=90.00
Atoms (fractional coordinates):
As1 0.000 0.000 0.500
As2 0.500 0.000 0.000
Sr1 0.000 0.000 0.000
Ca1 0.500 0.500 0.500
Sb1 0.000 0.500 0.000

Results
The calculation puts the total magnetization at 0.00 μB/cell. The formation energy (no corrections) is 0.27 eV/atom.


A relaxed structure of Sm3NiSn2, computed with PBE.

Unit cell a=4.441 b=11.917 c=12.297 alpha=90.00 beta=90.00 gamma=90.00
Atoms (fractional coordinates):
Sm1 0.250 0.797 0.729
Sn1 0.250 0.811 0.988
Sm2 0.750 0.553 0.620
Sn2 0.750 0.996 0.693
Sm3 0.250 0.128 0.555
Sn3 0.750 0.504 0.193
Sm4 0.250 0.053 0.880
Sn4 0.250 0.004 0.307
Sn5 0.750 0.189 0.012
Ni1 0.750 0.634 0.373
Sn6 0.750 0.311 0.512
Ni2 0.750 0.866 0.873
Sn7 0.250 0.689 0.488
Sm5 0.250 0.703 0.229
Sm6 0.250 0.372 0.055
Sn8 0.250 0.496 0.807
Sm7 0.250 0.447 0.380
Sm8 0.750 0.947 0.120
Sm9 0.750 0.297 0.771
Ni3 0.250 0.366 0.627
Sm10 0.750 0.872 0.445
Ni4 0.250 0.134 0.127
Sm11 0.750 0.203 0.271
Sm12 0.750 0.628 0.945

Results
The calculation puts the total magnetization at 2.45 μB/cell. As for the total DFT energy (no corrections): -127.683 eV for the cell shown.


A relaxed structure of PrPtAu, computed with PBE.

Unit cell a=3.695 b=4.673 c=4.673 alpha=120.00 beta=90.00 gamma=90.00
Atoms (fractional coordinates):
Au1 0.167 0.000 0.000
Pt1 0.166 0.333 0.667
Pr1 0.667 0.667 0.333

Results
The calculation puts the total magnetization at 0.00 μB/cell. The calculation puts the excess energy over the best structure of this formula in the dataset at 84 meV per atom.


A relaxed structure of Y2AsRu, computed with PBE.

Unit cell a=4.832 b=4.832 c=4.832 alpha=60.00 beta=60.00 gamma=60.00
Atoms (fractional coordinates):
Y1 0.250 0.250 0.250
Ru1 0.750 0.750 0.750
Y2 0.000 0.000 0.000
As1 0.500 0.500 0.500

Results
The calculation puts the total magnetization at 0.00 μB/cell. As for the total DFT energy (no corrections): -27.761 eV for the cell shown.


A relaxed structure of CdSi2Ni, computed with PBE.

Unit cell a=6.607 b=6.607 c=6.607 alpha=155.37 beta=146.83 gamma=41.75
Atoms (fractional coordinates):
Si1 0.727 0.227 0.500
Cd1 0.439 0.439 0.000
Ni1 0.248 0.748 0.500
Si2 0.087 0.087 0.000

Results
The calculation puts the total magnetization at 0.00 μB/cell. The formation energy (no corrections) is 0.04 eV/atom.


A relaxed structure of Ni3S3Br, computed with PBE.

Unit cell a=4.639 b=8.182 c=8.182 alpha=120.00 beta=90.00 gamma=90.00
Atoms (fractional coordinates):
Br1 0.250 0.667 0.333
S1 0.750 0.306 0.141
Ni1 0.250 0.831 0.689
Ni2 0.750 0.689 0.858
Br2 0.750 0.333 0.667
S2 0.750 0.835 0.694
S3 0.250 0.694 0.859
S4 0.250 0.165 0.306
S5 0.750 0.859 0.165
Ni3 0.750 0.142 0.831
Ni4 0.750 0.169 0.311
S6 0.250 0.141 0.835
Ni5 0.250 0.311 0.142
Ni6 0.250 0.858 0.169

Results
The calculation puts the total magnetization at 0.00 μB/cell. The formation energy (no corrections) is -0.16 eV/atom.


A relaxed structure of SmDy3Y2Ho6, computed with PBE.

Unit cell a=6.136 b=6.136 c=11.749 alpha=94.97 beta=94.97 gamma=119.95
Atoms (fractional coordinates):
Sm1 0.000 0.000 0.000
Y1 0.333 0.667 0.000
Ho1 0.417 0.084 0.252
Dy1 0.500 0.500 0.500
Ho2 0.583 0.916 0.748
Dy2 0.833 0.167 0.500
Ho3 0.249 0.249 0.749
Y2 0.667 0.333 0.000
Ho4 0.751 0.751 0.251
Ho5 0.916 0.583 0.748
Dy3 0.167 0.833 0.500
Ho6 0.084 0.417 0.252

Results
The calculation puts the total magnetization at 0.00 μB/cell. As for the total DFT energy (no corrections): -58.691 eV for the cell shown.


A relaxed structure of Pm19Dy4Ho6, computed with PBE.

Unit cell a=10.929 b=10.929 c=10.929 alpha=109.47 beta=109.47 gamma=109.47
Atoms (fractional coordinates):
Ho1 0.500 0.875 0.375
Pm1 0.676 0.657 0.457
Ho2 0.875 0.375 0.500
Dy1 0.000 0.640 0.000
Pm2 0.781 0.982 0.324
Pm3 0.657 0.457 0.676
Dy2 0.640 0.000 0.000
Pm4 0.799 0.343 0.018
Pm5 0.260 0.260 0.000
Pm6 0.740 0.740 0.000
Pm7 0.740 0.000 0.740
Ho3 0.625 0.500 0.125
Ho4 0.125 0.625 0.500
Pm8 0.324 0.781 0.982
Pm9 0.343 0.018 0.799
Pm10 0.260 0.000 0.260
Pm11 0.201 0.219 0.543
Pm12 0.543 0.201 0.219
Pm13 0.219 0.543 0.201
Ho5 0.375 0.500 0.875
Ho6 0.500 0.125 0.625
Pm14 0.000 0.000 0.000
Pm15 0.457 0.676 0.657
Pm16 0.018 0.799 0.343
Pm17 0.982 0.324 0.781
Pm18 0.000 0.260 0.260
Dy3 0.000 0.000 0.640
Dy4 0.360 0.360 0.360
Pm19 0.000 0.740 0.740

Results
The calculation puts the total magnetization at 0.00 μB/cell. As for the total DFT energy (no corrections): -125.457 eV for the cell shown.